(1)
La6TbEr: relaxed, PBE.

POSCAR file:
```
La6TbEr
1.0
5.200 0.000 0.000
0.000 5.200 0.000
0.000 0.000 10.396
La Tb Er
6 1 1
Direct
0.000 0.000 0.000
0.000 0.000 0.500
0.000 0.500 0.249
0.000 0.500 0.751
0.500 0.000 0.249
0.500 0.000 0.751
0.500 0.500 0.500
0.500 0.500 0.000
```

Summary:
Crystal system   tetragonal
Density of states at the Fermi level   1.29 states/eV/atom
Calculated formation energy   0.01 eV per atom
Calculated volume   281.2 Å³/cell


(2)
La6TbEr2: relaxed, PBE.

POSCAR file:
```
La6TbEr2
1.0
4.741 -8.938 0.000
4.741 8.938 0.000
0.000 0.000 3.696
La Tb Er
6 1 2
Direct
0.006 0.338 0.000
0.177 0.177 0.500
0.338 0.006 0.000
0.662 0.994 0.000
0.823 0.823 0.500
0.994 0.662 0.000
0.500 0.500 0.000
0.327 0.673 0.500
0.673 0.327 0.500
```

Summary:
Crystal system   orthorhombic
Density of states at the Fermi level   1.47 states/eV/atom
Calculated formation energy   0.12 eV per atom
Calculated volume   313.3 Å³/cell


(3)
La3Tb4Er4: relaxed, PBE.

POSCAR file:
```
La3Tb4Er4
1.0
10.690 0.000 0.000
0.000 2.868 6.060
0.000 -2.868 6.060
La Tb Er
3 4 4
Direct
0.000 0.000 0.000
0.289 0.156 0.156
0.711 0.156 0.156
0.000 0.701 0.701
0.217 0.495 0.495
0.500 0.635 0.635
0.783 0.495 0.495
0.000 0.305 0.305
0.301 0.852 0.852
0.500 0.363 0.363
0.699 0.852 0.852
```

Summary:
Crystal system   orthorhombic
Density of states at the Fermi level   1.61 states/eV/atom
Calculated formation energy   0.16 eV per atom
Calculated volume   371.6 Å³/cell


(4)
La12Tb2Er5: relaxed, PBE.

POSCAR file:
```
La12Tb2Er5
1.0
9.757 -3.812 0.000
9.757 3.812 0.000
-4.738 0.000 8.864
La Tb Er
12 2 5
Direct
0.002 0.002 0.297
0.068 0.606 0.010
0.089 0.590 0.655
0.394 0.932 0.990
0.410 0.911 0.345
0.483 0.483 0.142
0.517 0.517 0.858
0.590 0.089 0.655
0.606 0.068 0.010
0.911 0.410 0.345
0.932 0.394 0.990
0.998 0.998 0.703
0.301 0.699 0.500
0.699 0.301 0.500
0.000 0.000 0.000
0.175 0.175 0.670
0.321 0.321 0.310
0.679 0.679 0.690
0.825 0.825 0.330
```

Summary:
Crystal system   monoclinic
Density of states at the Fermi level   1.54 states/eV/atom
Calculated formation energy   0.15 eV per atom
Calculated volume   659.3 Å³/cell


(5)
La3Tb8Er4: relaxed, PBE.

POSCAR file:
```
La3Tb8Er4
1.0
6.731 -6.410 0.000
6.731 6.410 0.000
-3.405 0.000 5.877
La Tb Er
3 8 4
Direct
0.000 0.000 0.000
0.000 0.500 0.500
0.500 0.000 0.500
0.143 0.857 0.500
0.229 0.229 0.511
0.244 0.244 0.000
0.247 0.753 0.000
0.753 0.247 0.000
0.756 0.756 0.000
0.771 0.771 0.489
0.857 0.143 0.500
0.000 0.500 0.000
0.500 0.000 0.000
0.500 0.500 0.000
0.500 0.500 0.500
```

Summary:
Crystal system   monoclinic
Density of states at the Fermi level   1.94 states/eV/atom
Calculated formation energy   0.39 eV per atom
Calculated volume   507.1 Å³/cell


(6)
La8Tb3Er: relaxed, PBE.

POSCAR file:
```
La8Tb3Er
1.0
-3.439 5.597 5.854
3.439 -5.597 5.854
3.439 5.597 -5.854
La Tb Er
8 3 1
Direct
0.086 0.249 0.837
0.274 0.221 0.496
0.274 0.779 0.053
0.412 0.249 0.163
0.588 0.751 0.837
0.726 0.221 0.947
0.726 0.779 0.504
0.914 0.751 0.163
0.264 0.764 0.500
0.500 0.500 0.000
0.736 0.236 0.500
0.000 0.000 0.000
```

Summary:
Crystal system   orthorhombic
Density of states at the Fermi level   1.51 states/eV/atom
Calculated formation energy   0.31 eV per atom
Calculated volume   450.6 Å³/cell


(7)
La5TbEr2: relaxed, PBE.

POSCAR file:
```
La5TbEr2
1.0
-4.658 4.658 6.485
4.658 -4.658 6.485
4.658 4.658 -6.485
La Tb Er
10 2 4
Direct
0.000 0.000 0.000
0.017 0.517 0.201
0.184 0.983 0.500
0.316 0.816 0.799
0.483 0.684 0.500
0.500 0.500 0.000
0.517 0.316 0.500
0.684 0.184 0.201
0.816 0.017 0.500
0.983 0.483 0.799
0.250 0.250 0.000
0.750 0.750 0.000
0.146 0.354 0.500
0.354 0.854 0.209
0.646 0.146 0.791
0.854 0.646 0.500
```

Summary:
Crystal system   tetragonal
Density of states at the Fermi level   1.58 states/eV/atom
Calculated formation energy   0.13 eV per atom
Calculated volume   562.7 Å³/cell


(8)
La2Tb4Er3: relaxed, PBE.

POSCAR file:
```
La2Tb4Er3
1.0
3.604 0.000 0.000
-1.802 3.121 0.000
0.000 0.000 26.519
La Tb Er
2 4 3
Direct
0.000 0.000 0.000
0.000 0.000 0.222
0.000 0.000 0.356
0.000 0.000 0.566
0.333 0.667 0.674
0.333 0.667 0.886
0.000 0.000 0.780
0.333 0.667 0.113
0.333 0.667 0.460
```

Summary:
Crystal system   trigonal
Density of states at the Fermi level   1.82 states/eV/atom
Calculated formation energy   0.05 eV per atom
Calculated volume   298.3 Å³/cell


(9)
La6TbEr5: relaxed, PBE.

POSCAR file:
```
La6TbEr5
1.0
6.173 0.000 0.000
0.000 7.416 0.000
-0.472 0.000 8.890
La Tb Er
6 1 5
Direct
0.000 0.250 0.000
0.000 0.750 0.000
0.333 0.250 0.666
0.333 0.750 0.666
0.667 0.250 0.334
0.667 0.750 0.334
0.500 0.000 0.000
0.167 0.000 0.334
0.167 0.500 0.333
0.500 0.500 0.000
0.833 0.000 0.666
0.833 0.500 0.667
```

Summary:
Crystal system   monoclinic
Density of states at the Fermi level   1.61 states/eV/atom
Calculated formation energy   0.03 eV per atom
Calculated volume   407.0 Å³/cell


(10)
La2Tb5Er12: relaxed, PBE.

POSCAR file:
```
La2Tb5Er12
1.0
7.876 -4.609 0.000
7.876 4.609 0.000
-0.194 0.000 8.494
La Tb Er
2 5 12
Direct
0.189 0.811 0.000
0.811 0.189 0.000
0.198 0.198 0.007
0.267 0.267 0.422
0.500 0.500 0.500
0.733 0.733 0.578
0.802 0.802 0.993
0.057 0.057 0.327
0.065 0.683 0.351
0.163 0.523 0.753
0.317 0.935 0.649
0.406 0.406 0.117
0.477 0.837 0.247
0.523 0.163 0.753
0.594 0.594 0.883
0.683 0.065 0.351
0.837 0.477 0.247
0.935 0.317 0.649
0.943 0.943 0.673
```

Summary:
Crystal system   monoclinic
Density of states at the Fermi level   1.44 states/eV/atom
Calculated formation energy   0.14 eV per atom
Calculated volume   616.6 Å³/cell


(11)
La2Tb3Er7: relaxed, PBE.

POSCAR file:
```
La2Tb3Er7
1.0
2.840 -19.027 0.000
2.840 19.027 0.000
0.000 0.000 3.608
La Tb Er
2 3 7
Direct
0.147 0.853 0.000
0.853 0.147 0.000
0.312 0.688 0.500
0.500 0.500 0.500
0.688 0.312 0.500
0.000 0.000 0.000
0.070 0.930 0.500
0.230 0.770 0.000
0.412 0.588 0.000
0.588 0.412 0.000
0.770 0.230 0.000
0.930 0.070 0.500
```

Summary:
Crystal system   orthorhombic
Density of states at the Fermi level   1.47 states/eV/atom
Calculated formation energy   0.12 eV per atom
Calculated volume   389.9 Å³/cell


(12)
La4TbEr8: relaxed, PBE.

POSCAR file:
```
La4TbEr8
1.0
3.748 2.164 8.868
-3.748 2.164 8.868
0.000 -4.328 8.868
La Tb Er
4 1 8
Direct
0.000 0.000 0.000
0.000 0.500 0.500
0.500 0.000 0.500
0.500 0.500 0.000
0.500 0.500 0.500
0.181 0.749 0.749
0.218 0.218 0.218
0.251 0.251 0.819
0.251 0.819 0.251
0.749 0.181 0.749
0.749 0.749 0.181
0.782 0.782 0.782
0.819 0.251 0.251
```

Summary:
Crystal system   trigonal
Density of states at the Fermi level   1.39 states/eV/atom
Calculated formation energy   0.20 eV per atom
Calculated volume   431.5 Å³/cell


(13)
La14TbEr: relaxed, PBE.

POSCAR file:
```
La14TbEr
1.0
11.816 0.000 0.000
0.000 5.741 4.255
0.000 -5.741 4.255
La Tb Er
14 1 1
Direct
0.000 0.000 0.000
0.000 0.428 0.428
0.000 0.536 0.952
0.000 0.952 0.536
0.244 0.244 0.814
0.244 0.814 0.244
0.259 0.311 0.311
0.264 0.748 0.748
0.500 0.520 0.991
0.500 0.991 0.520
0.736 0.748 0.748
0.741 0.311 0.311
0.756 0.244 0.814
0.756 0.814 0.244
0.500 0.041 0.041
0.500 0.491 0.491
```

Summary:
Crystal system   orthorhombic
Density of states at the Fermi level   1.67 states/eV/atom
Calculated formation energy   0.08 eV per atom
Calculated volume   577.4 Å³/cell


(14)
LaTb10Er4: relaxed, PBE.

POSCAR file:
```
LaTb10Er4
1.0
-6.360 6.360 3.311
6.360 -6.360 3.311
6.360 6.360 -3.311
La Tb Er
1 10 4
Direct
0.000 0.000 0.000
0.042 0.880 0.419
0.120 0.539 0.162
0.250 0.750 0.500
0.377 0.958 0.838
0.461 0.623 0.581
0.539 0.377 0.419
0.623 0.042 0.162
0.750 0.250 0.500
0.880 0.461 0.838
0.958 0.120 0.581
0.323 0.567 0.891
0.433 0.323 0.756
0.567 0.677 0.244
0.677 0.433 0.109
```

Summary:
Crystal system   tetragonal
Density of states at the Fermi level   1.97 states/eV/atom
Calculated formation energy   0.55 eV per atom
Calculated volume   535.8 Å³/cell


(15)
La4Tb3Er2: relaxed, PBE.

POSCAR file:
```
La4Tb3Er2
1.0
7.716 -2.581 0.000
7.716 2.581 0.000
-2.540 0.000 7.662
La Tb Er
4 3 2
Direct
0.054 0.054 0.329
0.276 0.276 0.668
0.724 0.724 0.332
0.946 0.946 0.671
0.388 0.388 0.329
0.500 0.500 0.000
0.612 0.612 0.671
0.168 0.168 0.000
0.832 0.832 0.000
```

Summary:
Crystal system   monoclinic
Density of states at the Fermi level   1.73 states/eV/atom
Calculated formation energy   0.03 eV per atom
Calculated volume   305.2 Å³/cell


(16)
LaTbEr2: relaxed, PBE.

POSCAR file:
```
LaTbEr2
1.0
0.000 4.043 4.043
4.043 0.000 4.043
4.043 4.043 0.000
La Tb Er
1 1 2
Direct
0.000 0.000 0.000
0.500 0.500 0.500
0.250 0.250 0.250
0.750 0.750 0.750
```

Summary:
Crystal system   cubic
Density of states at the Fermi level   1.71 states/eV/atom
Calculated formation energy   0.11 eV per atom
Calculated volume   132.2 Å³/cell


(17)
LaTb8Er6: relaxed, PBE.

POSCAR file:
```
LaTb8Er6
1.0
4.500 2.598 6.890
-4.500 2.598 6.890
0.000 -5.196 6.890
La Tb Er
1 8 6
Direct
0.000 0.000 0.000
0.112 0.718 0.747
0.253 0.888 0.282
0.282 0.253 0.888
0.423 0.423 0.423
0.577 0.577 0.577
0.718 0.747 0.112
0.747 0.112 0.718
0.888 0.282 0.253
0.102 0.535 0.241
0.241 0.102 0.535
0.465 0.759 0.898
0.535 0.241 0.102
0.759 0.898 0.465
0.898 0.465 0.759
```

Summary:
Crystal system   trigonal
Density of states at the Fermi level   1.58 states/eV/atom
Calculated formation energy   0.14 eV per atom
Calculated volume   483.2 Å³/cell


(18)
La7Tb3Er: relaxed, PBE.

POSCAR file:
```
La7Tb3Er
1.0
-3.012 5.720 5.784
3.012 -5.720 5.784
3.012 5.720 -5.784
La Tb Er
7 3 1
Direct
0.000 0.000 0.000
0.095 0.788 0.306
0.289 0.500 0.789
0.482 0.788 0.694
0.518 0.212 0.306
0.711 0.500 0.211
0.905 0.212 0.694
0.295 0.295 0.000
0.500 0.000 0.500
0.705 0.705 0.000
0.000 0.500 0.500
```

Summary:
Crystal system   orthorhombic
Density of states at the Fermi level   1.46 states/eV/atom
Calculated formation energy   0.22 eV per atom
Calculated volume   398.6 Å³/cell


(19)
La5TbEr6: relaxed, PBE.

POSCAR file:
```
La5TbEr6
1.0
-2.598 4.951 7.765
2.598 -4.951 7.765
2.598 4.951 -7.765
La Tb Er
5 1 6
Direct
0.000 0.000 0.000
0.167 0.667 0.500
0.336 0.336 0.000
0.664 0.664 0.000
0.833 0.333 0.500
0.500 0.000 0.500
0.085 0.834 0.251
0.251 0.500 0.751
0.417 0.166 0.251
0.583 0.834 0.749
0.749 0.500 0.249
0.915 0.166 0.749
```

Summary:
Crystal system   orthorhombic
Density of states at the Fermi level   1.48 states/eV/atom
Calculated formation energy   0.03 eV per atom
Calculated volume   399.5 Å³/cell


(20)
La4Tb3Er4: relaxed, PBE.

POSCAR file:
```
La4Tb3Er4
1.0
-1.799 4.742 11.069
1.799 -4.742 11.069
1.799 4.742 -11.069
La Tb Er
4 3 4
Direct
0.024 0.854 0.170
0.315 0.146 0.170
0.685 0.854 0.830
0.976 0.146 0.830
0.000 0.500 0.500
0.395 0.395 0.000
0.605 0.605 0.000
0.265 0.765 0.500
0.316 0.000 0.316
0.684 0.000 0.684
0.735 0.235 0.500
```

Summary:
Crystal system   orthorhombic
Density of states at the Fermi level   1.54 states/eV/atom
Calculated formation energy   0.12 eV per atom
Calculated volume   377.7 Å³/cell